AcSmPa2O8 after structural relaxation, computed with GGA-PBE.

a b c (Å): 5.5855 5.5855 10.9521
angles (deg): 90.00 90.00 90.00
Last column: nearest neighbours and their distance in Å.
Space group I-4m2 (No. 119)
Symmetry-distinct sites (fractional):
Ac 0.0000 0.0000 0.0000  8 O 2.52
Sm 0.0000 0.5000 0.7500  8 O 2.45
Pa 0.0000 0.0000 0.5000  8 O 2.33
Pa 0.0000 0.5000 0.2500  8 O 2.33
O 0.2263 0.2442 0.3722  2 Pa 2.33, 1 Sm 2.45, 1 Ac 2.52, 1 O 2.53

Computed properties:
Its formation energy without anion corrections is -3.63 eV/atom. As for the total energy: -9.255 eV per atom.

---

TaVCo2Rh after structural relaxation, computed with GGA-PBE.

a b c (Å): 4.0893 4.0893 4.6614
angles (deg): 90.00 90.00 90.00
Last column: nearest neighbours and their distance in Å.
Space group P4/mmm (No. 123)
Symmetry-distinct sites (fractional):
Ta 0.0000 0.0000 0.0000  2 V 2.33
V 0.0000 0.0000 0.5000  4 Co 2.04
Co 0.0000 0.5000 0.5000  2 V 2.04
Rh 0.5000 0.5000 0.0000  4 Ta 2.89, 8 Co 3.10

Computed properties:
As for the total energy: -7.480 eV per atom.

---

Pm5Tm4Mg2 after structural relaxation, computed with GGA-PBE.

a b c (Å): 22.3212 3.5151 8.7710
angles (deg): 90.00 93.93 90.00
Last column: nearest neighbours and their distance in Å.
Space group C2/m (No. 12)
Symmetry-distinct sites (fractional):
Pm 0.0000 0.0000 0.0000  2 Mg 3.47, 6 Pm 3.52-3.53, 4 Tm 3.52
Pm 0.1343 0.5000 0.0967  5 Pm 3.44-3.53, 4 Tm 3.47-3.52, 2 Mg 3.64
Pm 0.1830 0.5000 0.4770  4 Tm 3.34-3.66, 5 Pm 3.44-3.52, 2 Mg 3.45
Tm 0.0744 0.5000 0.7209  4 Pm 3.34-3.52, 4 Mg 3.41-3.46, 4 Tm 3.52-3.56
Tm 0.2101 0.0000 0.8206  6 Pm 3.50-3.66, 4 Tm 3.52-3.56
Mg 0.0529 0.0000 0.3812  3 Mg 3.25-3.52, 4 Tm 3.41-3.46, 5 Pm 3.45-3.64

Computed properties:
As for the total energy: -4.018 eV per atom.